Computed, not measured: CaErV2O8 after structural relaxation at the GGA+U level of DFT.

Output
The value obtained for the total magnetization is 1.1 μB/cell. For the total energy, the calculation gives -7.493 eV per atom. The value obtained for the density of states at the Fermi level is 7.72 states/eV/f.u.

abc: 6.043 6.043 6.043
angles: 106.23 106.23 116.16
Site moments in Bohr magnetons follow the coordinates.
Positions (direct):
Ca 0.000 0.000 0.000  0.00
Er 0.250 0.750 0.500  -0.01
V 0.750 0.250 0.500  -0.10
V 0.500 0.500 0.000  -0.09
O 0.391 0.073 0.318  0.14
O 0.336 0.527 0.191  0.12
O 0.336 0.144 0.809  0.12
O 0.755 0.073 0.682  0.14
O 0.856 0.664 0.191  0.12
O 0.927 0.245 0.318  0.14
O 0.927 0.609 0.682  0.14
O 0.473 0.664 0.809  0.12